(1)
HgBiAsSe2 | PBE | relaxed

Results
**Magnetic moment**: 1.4 Bohr magnetons per cell
**Excess energy over the best structure of this formula in the dataset**: 0.000 eV/f.u.
**Density**: 6.133 g/cm³
**Calculated volume**: 34.8 Å³/atom

abc: 5.5521 5.5521 5.6428
angles: 90.00 90.00 90.00
Closest atoms and distances in Å follow each position.
Fractional coordinates of all 5 atoms:
As 0.0000 0.0000 0.5000  2 Bi 2.82
Bi 0.0000 0.0000 0.0000  4 Se 2.78, 2 As 2.82
Se 0.0000 0.5000 0.0000  2 Bi 2.78
Se 0.5000 0.0000 0.0000  2 Bi 2.78
Hg 0.5000 0.5000 0.5000  4 As 3.93, 8 Se 3.96

***

(2)
SrHgBiAs | PBE | relaxed

Results
**Energy of formation from the pure elements**: -0.357 eV per atom
**Magnetic moment**: 0.0 Bohr magnetons per cell
**Density**: 8.401 g/cm³
**Calculated volume**: 28.3 Å³/atom

abc: 5.4279 5.4279 5.4279
angles: 60.00 60.00 60.00
Closest atoms and distances in Å follow each position.
Fractional coordinates of all 4 atoms:
Sr 0.2500 0.2500 0.2500  4 Hg 3.32, 4 As 3.32
As 0.0000 0.0000 0.0000  4 Sr 3.32, 4 Bi 3.32
Bi 0.7500 0.7500 0.7500  4 Hg 3.32, 4 As 3.32
Hg 0.5000 0.5000 0.5000  4 Bi 3.32, 4 Sr 3.32

***

(3)
TiHg2BiAs | PBE | relaxed

Results
**Energy of formation from the pure elements**: 0.375 eV per atom
**Magnetic moment**: 0.0 Bohr magnetons per cell
**Density**: 8.970 g/cm³
**Calculated volume**: 27.1 Å³/atom

abc: 5.2750 4.8764 5.2750
angles: 90.00 90.00 90.00
Closest atoms and distances in Å follow each position.
Fractional coordinates of all 5 atoms:
As 0.0000 0.0000 0.0000  2 Ti 2.44, 4 Hg 2.64
Ti 0.0000 0.5000 0.0000  2 As 2.44
Bi 0.5000 0.5000 0.5000  8 Hg 3.59, 4 Ti 3.73
Hg 0.0000 0.0000 0.5000  2 As 2.64
Hg 0.5000 0.0000 0.0000  2 As 2.64

***

(4)
TlHgBiAs | PBE | relaxed

Results
**Energy of formation from the pure elements**: 0.069 eV per atom
**Magnetic moment**: 0.0 Bohr magnetons per cell
**Excess energy over the best structure of this formula in the dataset**: 0.000 eV/f.u.
**Density**: 8.600 g/cm³
**Calculated volume**: 33.3 Å³/atom

abc: 3.9693 3.9693 10.0139
angles: 89.86 101.59 119.96
Closest atoms and distances in Å follow each position.
Fractional coordinates of all 4 atoms:
Tl 0.6732 0.6614 0.3346  3 As 3.31, 3 Hg 3.35-3.37
Hg 0.5072 0.0793 0.5865  1 Bi 3.27, 3 Tl 3.35-3.37
Bi 0.7297 0.1926 0.9223  3 As 2.81
As 0.1756 0.9143 0.0900  3 Bi 2.81

***

(5)
TlHgBiAs | PBE | relaxed

Results
**Energy of formation from the pure elements**: 0.139 eV per atom
**Magnetic moment**: 0.0 Bohr magnetons per cell
**Excess energy over the best structure of this formula in the dataset**: 0.277 eV/f.u.
**Density**: 10.445 g/cm³
**Calculated volume**: 27.4 Å³/atom

abc: 5.3702 5.3702 5.3702
angles: 60.00 60.00 60.00
Closest atoms and distances in Å follow each position.
Fractional coordinates of all 4 atoms:
As 0.0000 0.0000 0.0000  4 Tl 3.29, 4 Bi 3.29
Tl 0.2500 0.2500 0.2500  4 Hg 3.29, 4 As 3.29
Bi 0.7500 0.7500 0.7500  4 As 3.29, 4 Hg 3.29
Hg 0.5000 0.5000 0.5000  4 Tl 3.29, 4 Bi 3.29

***

(6)
Ho2BiAs | PBE | relaxed

Results
**Energy of formation from the pure elements**: -1.067 eV per atom
**Magnetic moment**: 0.0 Bohr magnetons per cell
**Density**: 9.090 g/cm³
**Calculated volume**: 28.0 Å³/atom

abc: 4.2042 4.2042 7.7163
angles: 74.19 74.19 60.00
Closest atoms and distances in Å follow each position.
Fractional coordinates of all 4 atoms:
Ho 0.0733 0.0733 0.7801  3 As 2.89, 3 Bi 3.16
Ho 0.2593 0.2593 0.2221  3 As 2.94, 3 Bi 3.18
Bi 0.4990 0.4990 0.5031  6 Ho 3.16-3.18
As 0.6684 0.6684 0.9947  6 Ho 2.89-2.94

***

(7)
Ho2BiAs | PBE | relaxed

Results
**Energy of formation from the pure elements**: -1.157 eV per atom
**Magnetic moment**: 0.0 Bohr magnetons per cell
**Density**: 9.223 g/cm³
**Calculated volume**: 27.6 Å³/atom

abc: 4.2401 4.2401 7.5078
angles: 73.60 73.60 60.00
Closest atoms and distances in Å follow each position.
Fractional coordinates of all 4 atoms:
As 0.0000 0.0000 0.0000  6 Ho 2.92
Bi 0.5000 0.5000 0.5000  6 Ho 3.13
Ho 0.2582 0.2582 0.2255  3 As 2.92, 3 Bi 3.13
Ho 0.7418 0.7418 0.7745  3 As 2.92, 3 Bi 3.13

***

(8)
Ho4Bi3As | PBE | relaxed

Results
**Energy of formation from the pure elements**: -0.974 eV per atom
**Magnetic moment**: 0.0 Bohr magnetons per cell
**Density**: 9.562 g/cm³
**Calculated volume**: 29.6 Å³/atom

abc: 4.3530 7.5849 7.5849
angles: 109.23 90.00 90.00
Closest atoms and distances in Å follow each position.
Fractional coordinates of all 8 atoms:
As 0.5000 0.0000 0.0000  6 Ho 2.98-2.99
Ho 0.0000 0.2338 0.2338  2 As 2.99, 4 Bi 3.10-3.19
Ho 0.5000 0.7590 0.2410  1 As 2.98, 5 Bi 3.09-3.20
Ho 0.0000 0.7662 0.7662  2 As 2.99, 4 Bi 3.10-3.19
Ho 0.5000 0.2410 0.7590  1 As 2.98, 5 Bi 3.09-3.20
Bi 0.0000 0.0000 0.5000  6 Ho 3.09-3.10
Bi 0.5000 0.5000 0.5000  6 Ho 3.19-3.20
Bi 0.0000 0.5000 0.0000  6 Ho 3.09-3.10

***

(9)
Ho8Bi2As | PBE | relaxed

Results
**Energy of formation from the pure elements**: -0.510 eV per atom
**Magnetic moment**: 1.0 Bohr magnetons per cell
**Density**: 9.178 g/cm³
**Calculated volume**: 29.8 Å³/atom

abc: 4.1053 8.8334 9.3031
angles: 94.69 102.75 90.00
Closest atoms and distances in Å follow each position.
Fractional coordinates of all 11 atoms:
Ho 0.4087 0.4618 0.8174  2 Bi 3.22, 5 Ho 3.33-3.59
Ho 0.6558 0.0335 0.3115  1 As 2.82, 2 Bi 3.15
Ho 0.7932 0.6376 0.5864  2 Bi 3.23, 7 Ho 3.40-3.61
Ho 0.0139 0.2253 0.0278  2 As 2.86
Ho 0.2068 0.3624 0.4136  2 Bi 3.23, 7 Ho 3.40-3.61
Ho 0.3442 0.9665 0.6885  1 As 2.82, 2 Bi 3.15
Ho 0.5913 0.5382 0.1826  2 Bi 3.22, 5 Ho 3.33-3.59
Ho 0.9861 0.7747 0.9722  2 As 2.86
Bi 0.8225 0.2288 0.6449  8 Ho 3.15-3.48
Bi 0.1775 0.7712 0.3551  8 Ho 3.15-3.48
As 0.5000 0.0000 0.0000  6 Ho 2.82-2.86

***

(10)
HoBiAs | PBE | relaxed

Results
**Energy of formation from the pure elements**: -0.588 eV per atom
**Magnetic moment**: 0.0 Bohr magnetons per cell
**Density**: 7.518 g/cm³
**Calculated volume**: 33.0 Å³/atom

abc: 4.7736 4.7736 10.4188
angles: 76.76 76.76 60.00
Closest atoms and distances in Å follow each position.
Fractional coordinates of all 6 atoms:
As 0.2847 0.2847 0.1459  4 Ho 2.76-2.84
As 0.7153 0.7153 0.8541  4 Ho 2.76-2.84
Bi 0.1402 0.1402 0.5794  3 Bi 3.18
Bi 0.8598 0.8598 0.4206  3 Bi 3.18
Ho 0.3790 0.3790 0.8629  4 As 2.76-2.84
Ho 0.6210 0.6210 0.1371  4 As 2.76-2.84

***

(11)
Ho3BiAs2 | PBE | relaxed

Results
**Energy of formation from the pure elements**: -0.926 eV per atom
**Magnetic moment**: 0.0 Bohr magnetons per cell
**Density**: 8.648 g/cm³
**Calculated volume**: 27.3 Å³/atom

abc: 4.1568 7.7067 10.9623
angles: 76.33 90.00 105.65
Closest atoms and distances in Å follow each position.
Fractional coordinates of all 12 atoms:
Ho 0.6141 0.2281 0.0747  3 As 2.80-2.92
Ho 0.1191 0.2383 0.7581  3 As 2.80-2.82
Ho 0.6372 0.2744 0.4336  4 As 2.87-2.96
Ho 0.8809 0.7617 0.2419  3 As 2.80-2.82
Ho 0.3859 0.7719 0.9253  3 As 2.80-2.92
Ho 0.3628 0.7256 0.5664  4 As 2.87-2.96
Bi 0.2319 0.4638 0.1970  7 Ho 3.16-3.35
Bi 0.7681 0.5362 0.8030  7 Ho 3.16-3.35
As 0.0000 0.0000 0.0000  6 Ho 2.80-2.92
As 0.0000 0.0000 0.5000  4 Ho 2.88, 4 As 2.98
As 0.4875 0.9750 0.3107  5 Ho 2.80-2.96, 2 As 2.98
As 0.5125 0.0250 0.6893  5 Ho 2.80-2.96, 2 As 2.98

***

(12)
Ho5BiAs4 | PBE | relaxed

Results
**Energy of formation from the pure elements**: -1.366 eV per atom
**Magnetic moment**: 0.0 Bohr magnetons per cell
**Density**: 8.631 g/cm³
**Calculated volume**: 25.7 Å³/atom

abc: 4.1435 7.2391 9.3463
angles: 75.38 77.19 73.37
Closest atoms and distances in Å follow each position.
Fractional coordinates of all 10 atoms:
Ho 0.2060 0.9020 0.6859  5 As 2.86-2.94, 1 Bi 3.07
Ho 0.7940 0.0980 0.3140  5 As 2.86-2.94, 1 Bi 3.07
Ho 0.3911 0.3279 0.8899  4 As 2.86-2.98, 2 Bi 3.09
Ho 0.0000 0.5000 0.5000  6 As 2.93-2.94
Ho 0.6089 0.6721 0.1101  4 As 2.86-2.98, 2 Bi 3.09
Bi 0.0000 0.0000 0.0000  6 Ho 3.07-3.09
As 0.5974 0.2040 0.6013  6 Ho 2.86-2.94
As 0.2028 0.3899 0.2045  6 Ho 2.86-2.98
As 0.7972 0.6101 0.7955  6 Ho 2.86-2.98
As 0.4026 0.7960 0.3987  6 Ho 2.86-2.94

***

(13)
Ho4BiAs3 | PBE | relaxed

Results
**Energy of formation from the pure elements**: -1.346 eV per atom
**Magnetic moment**: 0.0 Bohr magnetons per cell
**Density**: 8.726 g/cm³
**Calculated volume**: 26.0 Å³/atom

abc: 4.1523 4.1523 27.8730
angles: 90.00 90.00 120.00
Closest atoms and distances in Å follow each position.
Fractional coordinates of all 16 atoms:
As 0.0000 0.0000 0.0000  6 Ho 2.90
As 0.0000 0.0000 0.5000  6 Ho 2.90
As 0.3333 0.6667 0.8807  6 Ho 2.87-2.94
As 0.6667 0.3333 0.1193  6 Ho 2.87-2.94
As 0.6667 0.3333 0.3807  6 Ho 2.87-2.94
As 0.3333 0.6667 0.6193  6 Ho 2.87-2.94
Ho 0.6667 0.3333 0.9414  6 As 2.90-2.94
Ho 0.3333 0.6667 0.0586  6 As 2.90-2.94
Ho 0.3333 0.6667 0.4414  6 As 2.90-2.94
Ho 0.6667 0.3333 0.5586  6 As 2.90-2.94
Ho 0.0000 0.0000 0.8244  3 As 2.87, 3 Bi 3.17
Ho 0.0000 0.0000 0.1756  3 As 2.87, 3 Bi 3.17
Ho 0.0000 0.0000 0.3244  3 As 2.87, 3 Bi 3.17
Ho 0.0000 0.0000 0.6756  3 As 2.87, 3 Bi 3.17
Bi 0.6667 0.3333 0.7500  6 Ho 3.17
Bi 0.3333 0.6667 0.2500  6 Ho 3.17

***

(14)
LaHoBiAs | PBE | relaxed

Results
**Energy of formation from the pure elements**: -1.218 eV per atom
**Magnetic moment**: 0.0 Bohr magnetons per cell
**Density**: 8.063 g/cm³
**Calculated volume**: 30.3 Å³/atom

abc: 4.3882 4.3882 7.6880
angles: 73.42 73.42 60.00
Closest atoms and distances in Å follow each position.
Fractional coordinates of all 4 atoms:
La 0.9925 0.9925 0.0226  3 As 3.08, 3 Bi 3.28
Ho 0.5071 0.5071 0.4786  3 As 2.98, 3 Bi 3.15
Bi 0.7548 0.7548 0.7355  3 Ho 3.15, 3 La 3.28
As 0.2455 0.2455 0.2634  3 Ho 2.98, 3 La 3.08